DFT (PBE) results for an optimized crystal structure of Tm2TlCu.

a = 3.723 Å, b = 3.723 Å, c = 8.773 Å
α = 77.75°, β = 77.75°, γ = 60.00°
Positions (direct):
1 Tm 0.737 0.737 0.788
2 Tm 0.263 0.263 0.212
3 Tl 0.500 0.500 0.500
4 Cu 0.000 0.000 0.000

Calculated values
VASP energy = -16.0 eV/cell
DOS(E_F) = 3.82 states/eV per cell
Theoretical density = 9.86 g/cm3
Formation enthalpy at 0 K = -0.57 eV per formula unit